[1]
A plane-wave DFT calculation with PBE was carried out for a relaxed structure of AlCdBr.

- calculated volume (Å³/cell) = 334
- polymorph energy (0 for the lowest one) (meV per atom) = 7.6
- formation energy (no corrections) (eV per atom) = -0.03
- total magnetization (μB per formula unit) = 0.00
- total energy (Ry/atom) = -0.158

Cell: 3.5426 5.8282 16.1713 Å, 90.00 90.00 90.00°
Element x y z (fractional)
Al 0.0000 0.0000 0.0000
Al 0.0000 0.5000 0.5000
Al 0.5000 0.0000 0.5000
Al 0.5000 0.5000 0.0000
Cd 0.0000 0.0000 0.3426
Cd 0.0000 0.5000 0.8426
Cd 0.5000 0.0000 0.8426
Cd 0.5000 0.5000 0.3426
Br 0.0000 0.0000 0.6169
Br 0.0000 0.5000 0.1169
Br 0.5000 0.0000 0.1169
Br 0.5000 0.5000 0.6169

***

[2]
A plane-wave DFT calculation with PBE was carried out for a relaxed structure of AlCd2Br.

- calculated volume (Å³/cell) = 203
- polymorph energy (0 for the lowest one) (meV per atom) = 170.6
- formation energy (no corrections) (eV per atom) = 0.10
- total magnetization (μB per formula unit) = 0.00
- total energy (Ry/atom) = -0.126

Cell: 4.4063 4.4063 10.4417 Å, 90.00 90.00 90.00°
Element x y z (fractional)
Al 0.0000 0.0000 0.0000
Al 0.5000 0.5000 0.5000
Cd 0.0000 0.0000 0.5000
Cd 0.0000 0.5000 0.2500
Cd 0.5000 0.0000 0.7500
Cd 0.5000 0.5000 0.0000
Br 0.0000 0.5000 0.7500
Br 0.5000 0.0000 0.2500

***

[3]
A plane-wave DFT calculation with PBE was carried out for a relaxed structure of AlCdBr4.

- calculated volume (Å³/cell) = 390
- polymorph energy (0 for the lowest one) (meV per atom) = 0.0
- formation energy (no corrections) (eV per atom) = -0.69
- total magnetization (μB per formula unit) = 0.66
- total energy (Ry/atom) = -0.190

Cell: 15.3877 4.0287 6.9550 Å, 90.00 115.36 90.00°
Element x y z (fractional)
Al 0.0000 0.0000 0.0000
Al 0.5000 0.5000 0.0000
Cd 0.0000 0.5000 0.5000
Cd 0.5000 0.0000 0.5000
Br 0.1107 0.5000 0.9463
Br 0.1127 0.0000 0.4372
Br 0.3873 0.5000 0.5628
Br 0.3893 0.0000 0.0537
Br 0.6107 0.0000 0.9463
Br 0.6127 0.5000 0.4372
Br 0.8873 0.0000 0.5628
Br 0.8893 0.5000 0.0537

***

[4]
A plane-wave DFT calculation with PBE was carried out for a relaxed structure of AlCd2Br.

- calculated volume (Å³/cell) = 305
- polymorph energy (0 for the lowest one) (meV per atom) = 5.2
- formation energy (no corrections) (eV per atom) = -0.07
- total magnetization (μB per formula unit) = 0.00
- total energy (Ry/atom) = -0.138

Cell: 3.4094 3.4094 30.3314 Å, 90.00 90.00 120.00°
Element x y z (fractional)
Al 0.0000 0.0000 0.0000
Al 0.3333 0.6667 0.6667
Al 0.6667 0.3333 0.3333
Cd 0.0000 0.0000 0.2645
Cd 0.0000 0.0000 0.5155
Cd 0.3333 0.6667 0.1821
Cd 0.3333 0.6667 0.9312
Cd 0.6667 0.3333 0.5978
Cd 0.6667 0.3333 0.8488
Br 0.0000 0.0000 0.7261
Br 0.3333 0.6667 0.3927
Br 0.6667 0.3333 0.0594

***

[5]
A plane-wave DFT calculation with PBE was carried out for a relaxed structure of AlCd2Br.

- calculated volume (Å³/cell) = 203
- polymorph energy (0 for the lowest one) (meV per atom) = 78.6
- formation energy (no corrections) (eV per atom) = 0.00
- total magnetization (μB per formula unit) = 0.00
- total energy (Ry/atom) = -0.133

Cell: 3.4466 4.9699 11.8550 Å, 90.00 90.00 90.00°
Element x y z (fractional)
Al 0.0000 0.0000 0.0000
Al 0.5000 0.5000 0.5000
Cd 0.0000 0.5000 0.2906
Cd 0.0000 0.5000 0.7094
Cd 0.5000 0.0000 0.2094
Cd 0.5000 0.0000 0.7906
Br 0.0000 0.0000 0.5000
Br 0.5000 0.5000 0.0000

***

[6]
A plane-wave DFT calculation with PBE was carried out for a relaxed structure of AlCd2Br.

- calculated volume (Å³/cell) = 212
- polymorph energy (0 for the lowest one) (meV per atom) = 71.8
- formation energy (no corrections) (eV per atom) = 0.00
- total magnetization (μB per formula unit) = 0.00
- total energy (Ry/atom) = -0.133

Cell: 3.4386 5.9054 10.4314 Å, 90.00 90.00 90.00°
Element x y z (fractional)
Al 0.0000 0.0000 0.0000
Al 0.5000 0.5000 0.0000
Cd 0.0000 0.0000 0.4747
Cd 0.0000 0.5000 0.2226
Cd 0.5000 0.0000 0.2226
Cd 0.5000 0.5000 0.4747
Br 0.0000 0.5000 0.8171
Br 0.5000 0.0000 0.8171

***

[7]
A plane-wave DFT calculation with PBE was carried out for a relaxed structure of AlCd2Br8.

- calculated volume (Å³/cell) = 452
- formation energy (no corrections) (eV per atom) = -0.66
- total magnetization (μB per formula unit) = 1.08
- total energy (Ry/atom) = -0.175

Cell: 7.4933 7.4933 10.1617 Å, 108.64 108.64 58.32°
Element x y z (fractional)
Al 0.0000 0.0000 0.0000
Cd 0.2495 0.2495 0.3522
Cd 0.7505 0.7505 0.6478
Br 0.1114 0.6424 0.8678
Br 0.1787 0.1787 0.5518
Br 0.3576 0.8886 0.1322
Br 0.4466 0.4466 0.3465
Br 0.5534 0.5534 0.6535
Br 0.6424 0.1114 0.8678
Br 0.8213 0.8213 0.4482
Br 0.8886 0.3576 0.1322

***

[8]
A plane-wave DFT calculation with PBE was carried out for a relaxed structure of AlCd2Br.

- calculated volume (Å³/cell) = 207
- polymorph energy (0 for the lowest one) (meV per atom) = 135.6
- formation energy (no corrections) (eV per atom) = 0.06
- total magnetization (μB per formula unit) = 0.00
- total energy (Ry/atom) = -0.129

Cell: 5.8291 10.2095 3.4808 Å, 90.00 90.00 90.00°
Element x y z (fractional)
Al 0.0000 0.0000 0.0000
Al 0.5000 0.5000 0.0000
Cd 0.2500 0.2500 0.5000
Cd 0.2500 0.7500 0.5000
Cd 0.7500 0.2500 0.5000
Cd 0.7500 0.7500 0.5000
Br 0.0000 0.5000 0.0000
Br 0.5000 0.0000 0.0000

***

[9]
A plane-wave DFT calculation with PBE was carried out for a relaxed structure of AlCdBr.

- calculated volume (Å³/cell) = 147
- polymorph energy (0 for the lowest one) (meV per atom) = 32.0
- formation energy (no corrections) (eV per atom) = -0.01
- total magnetization (μB per formula unit) = 0.00
- total energy (Ry/atom) = -0.156

Cell: 3.5222 3.5420 11.8110 Å, 90.00 90.00 90.00°
Element x y z (fractional)
Al 0.0000 0.0000 0.0000
Al 0.5000 0.5000 0.5000
Cd 0.0000 0.0000 0.3615
Cd 0.5000 0.5000 0.8615
Br 0.0000 0.0000 0.6527
Br 0.5000 0.5000 0.1527

***

[10]
A plane-wave DFT calculation with PBE was carried out for a relaxed structure of AlCdBr4.

- calculated volume (Å³/cell) = 189
- polymorph energy (0 for the lowest one) (meV per atom) = 1115.6
- formation energy (no corrections) (eV per atom) = 0.42
- total magnetization (μB per formula unit) = 1.80
- total energy (Ry/atom) = -0.108

Cell: 6.4457 6.4457 6.4457 Å, 60.00 60.00 60.00°
Element x y z (fractional)
Al 0.0000 0.0000 0.0000
Cd 0.2500 0.2500 0.2500
Br 0.1279 0.6240 0.6240
Br 0.6240 0.1279 0.6240
Br 0.6240 0.6240 0.1279
Br 0.6240 0.6240 0.6240

***

[11]
A plane-wave DFT calculation with PBE was carried out for a relaxed structure of AlCdBr.

- calculated volume (Å³/cell) = 81
- polymorph energy (0 for the lowest one) (meV per atom) = 0.0
- formation energy (no corrections) (eV per atom) = -0.04
- total magnetization (μB per formula unit) = 0.00
- total energy (Ry/atom) = -0.158

Cell: 4.0067 4.0067 5.8276 Å, 90.00 90.00 120.00°
Element x y z (fractional)
Al 0.0000 0.0000 0.0000
Cd 0.3333 0.6667 0.7213
Br 0.6667 0.3333 0.3055

***

[12]
A plane-wave DFT calculation with PBE was carried out for a relaxed structure of AlCdBr.

- calculated volume (Å³/cell) = 381
- polymorph energy (0 for the lowest one) (meV per atom) = 213.5
- formation energy (no corrections) (eV per atom) = 0.17
- total magnetization (μB per formula unit) = 0.00
- total energy (Ry/atom) = -0.142

Cell: 7.2470 7.2470 7.2470 Å, 90.00 90.00 90.00°
Element x y z (fractional)
Al 0.0000 0.0000 0.0000
Al 0.0000 0.5000 0.5000
Al 0.5000 0.0000 0.5000
Al 0.5000 0.5000 0.0000
Cd 0.2500 0.2500 0.7500
Cd 0.2500 0.7500 0.2500
Cd 0.7500 0.2500 0.2500
Cd 0.7500 0.7500 0.7500
Br 0.0000 0.0000 0.5000
Br 0.0000 0.5000 0.0000
Br 0.5000 0.0000 0.0000
Br 0.5000 0.5000 0.5000

***

[13]
A plane-wave DFT calculation with PBE was carried out for a relaxed structure of AlCd4Br.

- calculated volume (Å³/cell) = 152
- formation energy (no corrections) (eV per atom) = 0.15
- total magnetization (μB per formula unit) = 0.00
- total energy (Ry/atom) = -0.100

Cell: 5.9928 5.9928 5.9928 Å, 60.00 60.00 60.00°
Element x y z (fractional)
Al 0.0000 0.0000 0.0000
Cd 0.3746 0.3746 0.3746
Cd 0.3746 0.3746 0.8763
Cd 0.3746 0.8763 0.3746
Cd 0.8763 0.3746 0.3746
Br 0.7500 0.7500 0.7500

***

[14]
A plane-wave DFT calculation with PBE was carried out for a relaxed structure of AlCdBr2Cl.

- calculated volume (Å³/cell) = 198
- formation energy (no corrections) (eV per atom) = 0.15
- total magnetization (μB per formula unit) = 0.00
- total energy (Ry/atom) = -0.134

Cell: 6.5145 6.5145 4.6565 Å, 90.00 90.00 90.00°
Element x y z (fractional)
Al 0.0000 0.0000 0.0000
Cd 0.5000 0.5000 0.0000
Br 0.0000 0.5000 0.5000
Br 0.5000 0.0000 0.5000
Cl 0.5000 0.5000 0.5000